Below is a relaxed YGe2PdRh crystal, with properties calculated at the PBE-GGA level.

Cell and atoms, written as POSCAR:
```
YGe2PdRh
1.0
-2.085 2.085 5.204
2.085 -2.085 5.204
2.085 2.085 -5.204
Y Ge Pd Rh
1 2 1 1
direct
0.000 0.000 0.000 Y
0.382 0.382 0.000 Ge
0.618 0.618 0.000 Ge
0.250 0.750 0.500 Pd
0.750 0.250 0.500 Rh
```

Computed properties:
Crystal system   tetragonal
Energy   -6.462 eV/atom


Below is a relaxed TeAsSe2N crystal, with properties calculated at the PBE-GGA level.

Cell and atoms, written as POSCAR:
```
TeAsSe2N
1.0
4.570 0.000 0.000
0.000 4.570 0.000
0.000 0.000 4.471
Te As Se N
1 1 2 1
direct
0.000 0.000 0.000 Te
0.500 0.500 0.000 As
0.000 0.500 0.500 Se
0.500 0.000 0.500 Se
0.500 0.500 0.500 N
```

Computed properties:
E_form (uncorrected)   0.85 eV/atom
Crystal system   tetragonal


Below is a relaxed ReAgRh2 crystal, with properties calculated at the PBE-GGA level.

Cell and atoms, written as POSCAR:
```
ReAgRh2
1.0
4.821 0.000 0.000
0.000 2.730 0.000
-1.860 0.000 4.564
Re Ag Rh
1 1 2
direct
0.000 0.000 0.000 Re
0.000 0.500 0.500 Ag
0.500 0.000 0.500 Rh
0.500 0.500 0.000 Rh
```

Computed properties:
Crystal system   monoclinic
Energy   -7.146 eV/atom


Below is a relaxed Pa2NbH6 crystal, with properties calculated at the PBE-GGA level.

Cell and atoms, written as POSCAR:
```
Pa2NbH6
1.0
5.298 -2.574 0.000
5.298 2.574 0.000
-0.307 0.000 3.347
Pa Nb H
2 1 6
direct
0.149 0.149 0.213 Pa
0.851 0.851 0.787 Pa
0.500 0.500 0.500 Nb
0.132 0.545 0.308 H
0.293 0.707 0.000 H
0.455 0.868 0.692 H
0.545 0.132 0.308 H
0.707 0.293 0.000 H
0.868 0.455 0.692 H
```

Computed properties:
Crystal system   monoclinic
Energy   -5.716 eV/atom


Below is a relaxed CeZrCu crystal, with properties calculated at the PBE-GGA level.

Cell and atoms, written as POSCAR:
```
CeZrCu
1.0
4.725 0.000 0.000
-2.363 4.092 0.000
0.000 0.000 3.331
Ce Zr Cu
1 1 1
direct
0.000 0.000 0.000 Ce
0.333 0.667 0.417 Zr
0.667 0.333 0.584 Cu
```

Computed properties:
Crystal system   trigonal
Energy   -6.023 eV/atom


Below is a relaxed BeIn3Sn crystal, with properties calculated at the PBE-GGA level.

Cell and atoms, written as POSCAR:
```
BeIn3Sn
1.0
5.746 0.000 0.000
0.000 5.746 0.000
0.000 0.000 5.746
Be In Sn
1 3 1
direct
0.000 0.000 0.000 Be
0.000 0.500 0.500 In
0.500 0.000 0.500 In
0.500 0.500 0.000 In
0.500 0.500 0.500 Sn
```

Computed properties:
Crystal system   cubic
Energy   -2.196 eV/atom


Below is a relaxed Nd2GaI2 crystal, with properties calculated at the PBE-GGA level.

Cell and atoms, written as POSCAR:
```
Nd2GaI2
1.0
7.103 -3.129 0.000
7.103 3.129 0.000
-4.876 0.000 7.701
Nd Ga I
4 2 4
direct
0.012 0.012 0.205 Nd
0.325 0.325 0.916 Nd
0.675 0.675 0.084 Nd
0.988 0.988 0.795 Nd
0.106 0.106 0.595 Ga
0.894 0.894 0.405 Ga
0.229 0.229 0.171 I
0.448 0.448 0.700 I
0.552 0.552 0.300 I
0.771 0.771 0.829 I
```

Computed properties:
E_form (uncorrected)   -0.66 eV/atom
Crystal system   monoclinic


Below is a relaxed CaCrHg crystal, with properties calculated at the PBE-GGA level.

Cell and atoms, written as POSCAR:
```
CaCrHg
1.0
0.000 3.566 3.566
3.566 0.000 3.566
3.566 3.566 0.000
Ca Cr Hg
1 1 1
direct
0.000 0.000 0.000 Ca
0.250 0.250 0.250 Cr
0.750 0.750 0.750 Hg
```

Computed properties:
Crystal system   cubic
Energy   -3.342 eV/atom


Below is a relaxed In2CuHgBr crystal, with properties calculated at the PBE-GGA level.

Cell and atoms, written as POSCAR:
```
In2CuHgBr
1.0
5.201 0.000 0.000
0.000 5.201 0.000
0.000 0.000 5.118
In Cu Hg Br
2 1 1 1
direct
0.000 0.500 0.000 In
0.500 0.000 0.000 In
0.000 0.000 0.000 Cu
0.000 0.000 0.500 Hg
0.500 0.500 0.500 Br
```

Computed properties:
E_form (uncorrected)   -0.14 eV/atom
Crystal system   tetragonal


Below is a relaxed PmHo4ErS8 crystal, with properties calculated at the PBE-GGA level.

Cell and atoms, written as POSCAR:
```
PmHo4ErS8
1.0
4.025 2.324 6.565
-4.025 2.324 6.565
0.000 -4.647 6.565
Pm Ho Er S
1 4 1 8
direct
0.000 0.000 0.000 Pm
0.376 0.376 0.873 Ho
0.376 0.873 0.376 Ho
0.750 0.750 0.750 Ho
0.873 0.376 0.376 Ho
0.376 0.376 0.376 Er
0.136 0.136 0.136 S
0.137 0.137 0.592 S
0.137 0.592 0.137 S
0.147 0.617 0.617 S
0.592 0.137 0.137 S
0.617 0.147 0.617 S
0.617 0.617 0.147 S
0.618 0.618 0.618 S
```

Computed properties:
E_form (uncorrected)   -1.93 eV/atom
Crystal system   trigonal


Below is a relaxed LiSi2Ag crystal, with properties calculated at the PBE-GGA level.

Cell and atoms, written as POSCAR:
```
LiSi2Ag
1.0
2.761 0.000 0.000
0.000 2.761 0.000
0.000 0.000 8.176
Li Si Ag
1 2 1
direct
0.000 0.000 0.000 Li
0.000 0.000 0.469 Si
0.500 0.500 0.238 Si
0.500 0.500 0.744 Ag
```

Computed properties:
E_form (uncorrected)   0.17 eV/atom
Crystal system   tetragonal


Below is a relaxed CaPm5Tl3 crystal, with properties calculated at the PBE-GGA level.

Cell and atoms, written as POSCAR:
```
CaPm5Tl3
1.0
9.592 0.000 0.000
-4.796 8.307 0.000
0.000 0.000 6.899
Ca Pm Tl
2 10 6
direct
0.000 0.000 0.000 Ca
0.000 0.000 0.500 Ca
0.000 0.336 0.250 Pm
0.000 0.664 0.750 Pm
0.333 0.667 0.000 Pm
0.333 0.667 0.500 Pm
0.336 0.000 0.250 Pm
0.336 0.336 0.750 Pm
0.664 0.000 0.750 Pm
0.664 0.664 0.250 Pm
0.667 0.333 0.000 Pm
0.667 0.333 0.500 Pm
0.000 0.330 0.750 Tl
0.000 0.670 0.250 Tl
0.330 0.000 0.750 Tl
0.330 0.330 0.250 Tl
0.670 0.000 0.250 Tl
0.670 0.670 0.750 Tl
```

Computed properties:
Crystal system   hexagonal
Energy   -3.954 eV/atom